[1]
The following is a DFT calculation (GGA-PBE) of Tb3Tm3Sc5 after structural relaxation.

Cell: 9.0467 9.0467 5.3187 Å, 90.00 90.00 120.00°
Closest atoms and distances in Å follow each position.
Fractional coordinates of all 11 atoms:
Tb 0.0000 0.3795 0.0000  4 Sc 2.83-3.01
Tb 0.3795 0.0000 0.0000  4 Sc 2.83-3.01
Tb 0.6205 0.6205 0.0000  4 Sc 2.83-3.01
Tm 0.0000 0.5986 0.5000  2 Sc 3.03, 2 Tb 3.32
Tm 0.4014 0.4014 0.5000  2 Sc 3.03, 2 Tb 3.32
Tm 0.5986 0.0000 0.5000  2 Sc 3.03, 2 Tb 3.32
Sc 0.0000 0.7590 0.0000  2 Tb 3.01, 2 Tm 3.03
Sc 0.2410 0.2410 0.0000  2 Tb 3.01, 2 Tm 3.03
Sc 0.3333 0.6667 0.0000  3 Tb 2.83
Sc 0.6667 0.3333 0.0000  3 Tb 2.83
Sc 0.7590 0.0000 0.0000  2 Tb 3.01, 2 Tm 3.03

Summary:
Density of states at the Fermi level (states/eV/atom): 1.58
VASP energy (eV/atom): -4.52
ΔH_f (0 K) (eV per atom): 0.84
Crystal system: hexagonal

[2]
The following is a DFT calculation (GGA-PBE) of La3Sm2TaN6 after structural relaxation.

Cell: 6.1273 6.1273 6.1981 Å, 99.43 99.43 119.94°
Closest atoms and distances in Å follow each position.
Fractional coordinates of all 12 atoms:
La 0.0000 0.0000 0.0000  6 N 2.56-2.78
La 0.3341 0.6659 0.0000  6 N 2.53-2.82
La 0.6659 0.3341 0.0000  6 N 2.53-2.82
Sm 0.1669 0.8331 0.5000  6 N 2.51-2.53
Sm 0.8331 0.1669 0.5000  6 N 2.51-2.53
Ta 0.5000 0.5000 0.5000  6 N 2.21-2.25
N 0.1320 0.4277 0.2842  1 Ta 2.21
N 0.2763 0.2763 0.7235  1 Ta 2.25
N 0.4277 0.1320 0.2842  1 Ta 2.21
N 0.5723 0.8680 0.7158  1 Ta 2.21
N 0.7237 0.7237 0.2765  1 Ta 2.25
N 0.8680 0.5723 0.7158  1 Ta 2.21

Summary:
Density of states at the Fermi level (states/eV/atom): 0.20
Raw formation energy (meV/atom): -1357
VASP energy (eV/atom): -8.53
Crystal system: monoclinic

[3]
The following is a DFT calculation (GGA-PBE) of La3ZnN after structural relaxation.

Cell: 8.4158 8.4158 8.4158 Å, 51.81 51.81 51.81°
Closest atoms and distances in Å follow each position.
Fractional coordinates of all 10 atoms:
La 0.0531 0.7500 0.4469  1 N 2.23
La 0.2500 0.5531 0.9469  1 N 2.23
La 0.4469 0.0531 0.7500  1 N 2.23
La 0.5531 0.9469 0.2500  1 N 2.23
La 0.7500 0.4469 0.0531  1 N 2.23
La 0.9469 0.2500 0.5531  1 N 2.23
Zn 0.0000 0.0000 0.0000  6 La 3.15
Zn 0.5000 0.5000 0.5000  6 La 3.15
N 0.2500 0.2500 0.2500  3 La 2.23
N 0.7500 0.7500 0.7500  3 La 2.23

Summary:
Density of states at the Fermi level (states/eV/atom): 1.78
Raw formation energy (meV/atom): -360
VASP energy (eV/atom): -5.24
Crystal system: trigonal

[4]
The following is a DFT calculation (GGA-PBE) of MnTcIr2 after structural relaxation.

Cell: 4.6683 4.6683 4.6683 Å, 131.52 131.52 70.98°
Closest atoms and distances in Å follow each position.
Fractional coordinates of all 4 atoms:
Mn 0.0000 0.0000 0.0000  8 Ir 2.70, 4 Tc 2.71
Tc 0.5000 0.5000 0.0000  8 Ir 2.70, 4 Mn 2.71
Ir 0.2500 0.7500 0.5000  4 Mn 2.70, 4 Tc 2.70, 4 Ir 2.71
Ir 0.7500 0.2500 0.5000  4 Mn 2.70, 4 Tc 2.70, 4 Ir 2.71

Summary:
Density of states at the Fermi level (states/eV/atom): 0.87
VASP energy (eV/atom): -9.49
ΔH_f (0 K) (eV per atom): -0.18
Crystal system: tetragonal

[5]
The following is a DFT calculation (GGA-PBE) of Tl2WAu after structural relaxation.

Cell: 3.1697 4.7624 5.8495 Å, 90.00 105.71 90.00°
Closest atoms and distances in Å follow each position.
Fractional coordinates of all 4 atoms:
Tl 0.0000 0.0000 0.0000  3 Au 2.96-3.13, 4 W 2.98-2.99, 2 Tl 3.17
Tl 0.3148 0.5000 0.6251  3 W 2.97-3.10, 4 Au 3.04, 2 Tl 3.17
W 0.5760 0.5000 0.1517  2 Au 2.89, 7 Tl 2.97-3.10, 2 W 3.17
Au 0.7224 0.0000 0.4433  2 W 2.89, 7 Tl 2.96-3.13, 2 Au 3.17

Summary:
Density of states at the Fermi level (states/eV/atom): 0.62
VASP energy (eV/atom): -4.51
ΔH_f (0 K) (eV per atom): 0.73
Crystal system: monoclinic

[6]
The following is a DFT calculation (GGA-PBE) of LiGa2Si2 after structural relaxation.

Cell: 6.7758 6.7758 3.7382 Å, 90.00 90.00 90.00°
Closest atoms and distances in Å follow each position.
Fractional coordinates of all 10 atoms:
Li 0.0000 0.0000 0.0000  4 Si 2.68
Li 0.5000 0.5000 0.0000  4 Si 2.68
Ga 0.1812 0.3188 0.5000  6 Si 2.64-2.82
Ga 0.3188 0.8188 0.5000  6 Si 2.64-2.82
Ga 0.6812 0.1812 0.5000  6 Si 2.64-2.82
Ga 0.8188 0.6812 0.5000  6 Si 2.64-2.82
Si 0.1248 0.6248 0.0000  1 Si 2.39, 2 Ga 2.64
Si 0.3752 0.1248 0.0000  1 Si 2.39, 2 Ga 2.64
Si 0.6248 0.8752 0.0000  1 Si 2.39, 2 Ga 2.64
Si 0.8752 0.3752 0.0000  1 Si 2.39, 2 Ga 2.64

Summary:
Density of states at the Fermi level (states/eV/atom): 0.31
Raw formation energy (meV/atom): 92
VASP energy (eV/atom): -3.67
Crystal system: tetragonal

[7]
The following is a DFT calculation (GGA-PBE) of Nb2AsPt after structural relaxation.

Cell: 5.7945 5.7945 5.7945 Å, 104.03 104.03 121.02°
Closest atoms and distances in Å follow each position.
Fractional coordinates of all 8 atoms:
Nb 0.1149 0.6250 0.9899  2 As 2.57, 2 Pt 2.67, 2 Nb 2.86
Nb 0.3750 0.3649 0.4899  2 As 2.57, 2 Pt 2.67, 2 Nb 2.86
Nb 0.6351 0.1250 0.0101  2 As 2.57, 2 Pt 2.67, 2 Nb 2.86
Nb 0.8750 0.8851 0.5101  2 As 2.57, 2 Pt 2.67, 2 Nb 2.86
As 0.0000 0.0000 0.0000  4 Nb 2.57, 2 Pt 2.85
As 0.7500 0.2500 0.5000  4 Nb 2.57, 2 Pt 2.85
Pt 0.2500 0.7500 0.5000  4 Nb 2.67, 2 As 2.85
Pt 0.5000 0.5000 0.0000  4 Nb 2.67, 2 As 2.85

Summary:
Density of states at the Fermi level (states/eV/atom): 0.52
VASP energy (eV/atom): -7.91
ΔH_f (0 K) (eV per atom): -0.20
Crystal system: tetragonal

[8]
The following is a DFT calculation (GGA-PBE) of PrSmHoTh2 after structural relaxation.

Cell: 8.5837 8.5837 6.7192 Å, 90.00 90.00 134.04°
Closest atoms and distances in Å follow each position.
Fractional coordinates of all 10 atoms:
Pr 0.1517 0.8483 0.7500  1 Ho 3.11, 4 Th 3.39
Pr 0.8483 0.1517 0.2500  1 Ho 3.11, 4 Th 3.39
Sm 0.2710 0.7290 0.2500  4 Pr 3.57-3.85, 4 Ho 3.58-3.85
Sm 0.7290 0.2710 0.7500  4 Pr 3.57-3.85, 4 Ho 3.58-3.85
Ho 0.3486 0.6514 0.7500  1 Pr 3.11, 4 Th 3.35
Ho 0.6514 0.3486 0.2500  1 Pr 3.11, 4 Th 3.35
Th 0.2550 0.2550 0.0000  4 Th 3.28-3.42, 2 Ho 3.35, 2 Pr 3.39
Th 0.2550 0.2550 0.5000  4 Th 3.28-3.42, 2 Ho 3.35, 2 Pr 3.39
Th 0.7450 0.7450 0.0000  4 Th 3.28-3.42, 2 Ho 3.35, 2 Pr 3.39
Th 0.7450 0.7450 0.5000  4 Th 3.28-3.42, 2 Ho 3.35, 2 Pr 3.39

Summary:
Density of states at the Fermi level (states/eV/atom): 1.57
VASP energy (eV/atom): -5.39
ΔH_f (0 K) (eV per atom): 0.39
Crystal system: orthorhombic